# 1
This record from Alexandria describes a geometry-optimized YSi3NiIr structure. The functional is PBE.

Cell and atoms, written as POSCAR:
```
YSi3NiIr
1.0
-1.261 -5.356 -0.408
2.427 -0.995 5.566
-6.967 1.645 -0.069
Si Ir Ni Y
6 2 2 2
direct
0.000 0.285 0.000 Si
0.500 0.285 0.000 Si
0.000 0.715 0.000 Si
0.500 0.715 0.000 Si
0.250 0.213 0.426 Si
0.750 0.787 0.574 Si
0.250 0.387 0.775 Ir
0.750 0.613 0.225 Ir
0.750 0.954 0.908 Ni
0.250 0.046 0.092 Ni
0.750 0.197 0.393 Y
0.250 0.803 0.607 Y
```

Summary:
As for the formation energy without anion corrections: -0.49 eV/atom. The space group is Cmcm. The crystal system is orthorhombic. The value obtained for the volume is 18.29 A^3/atom. As for the total energy: -40.338 eV per formula unit.

# 2
This record from Alexandria describes a geometry-optimized Tb6Nd3Er structure. The functional is PBE.

Cell and atoms, written as POSCAR:
```
Tb6Nd3Er
1.0
6.134 0.000 -2.490
-1.242 9.169 -3.061
-0.898 -0.528 6.589
Nd Tb Er
3 6 1
direct
0.000 0.000 0.000 Nd
0.070 0.700 0.140 Nd
0.930 0.300 0.860 Nd
0.931 0.313 0.372 Tb
0.441 0.313 0.372 Tb
0.069 0.687 0.628 Tb
0.363 0.079 0.727 Tb
0.559 0.687 0.628 Tb
0.637 0.921 0.273 Tb
0.500 0.500 0.000 Er
```

Summary:
For the formation energy, the calculation gives 227 meV per atom. The space group is C2/m. The crystal system is monoclinic. The value obtained for the volume is 33.86 A^3/atom. As for the total energy: -44.383 eV per formula unit.

# 3
This record from Alexandria describes a geometry-optimized GaAu structure. The functional is PBE.

Cell and atoms, written as POSCAR:
```
GaAu
1.0
-2.779 -0.517 0.153
0.328 -6.067 -14.585
2.606 -12.456 5.240
Au Ga
16 16
direct
0.000 0.500 0.848 Au
0.750 0.250 0.902 Au
0.250 0.250 0.098 Au
0.750 0.750 0.402 Au
0.500 0.000 0.152 Au
0.250 0.750 0.598 Au
0.500 0.500 0.348 Au
0.750 0.750 0.098 Au
0.750 0.250 0.598 Au
0.000 0.000 0.652 Au
0.250 0.750 0.902 Au
0.500 0.000 0.848 Au
0.000 0.500 0.152 Au
0.500 0.500 0.652 Au
0.000 0.000 0.348 Au
0.250 0.250 0.402 Au
0.750 0.853 0.250 Ga
0.000 0.897 0.500 Ga
0.000 0.397 0.000 Ga
0.000 0.103 0.500 Ga
0.750 0.647 0.250 Ga
0.500 0.897 0.000 Ga
0.250 0.147 0.250 Ga
0.250 0.353 0.250 Ga
0.500 0.397 0.500 Ga
0.500 0.103 0.000 Ga
0.250 0.853 0.750 Ga
0.250 0.647 0.750 Ga
0.750 0.353 0.750 Ga
0.000 0.603 0.000 Ga
0.750 0.147 0.750 Ga
0.500 0.603 0.500 Ga
```

Summary:
For the formation energy, the calculation gives -98 meV per atom. The space group is Fddd. The crystal system is orthorhombic. The value obtained for the volume is 19.23 A^3/atom. As for the total energy: -6.501 eV per formula unit.

What did the first record say?
This record from Alexandria describes a geometry-optimized YSi3NiIr structure. The functional is PBE.

Cell and atoms, written as POSCAR:
```
YSi3NiIr
1.0
-1.261 -5.356 -0.408
2.427 -0.995 5.566
-6.967 1.645 -0.069
Si Ir Ni Y
6 2 2 2
direct
0.000 0.285 0.000 Si
0.500 0.285 0.000 Si
0.000 0.715 0.000 Si
0.500 0.715 0.000 Si
0.250 0.213 0.426 Si
0.750 0.787 0.574 Si
0.250 0.387 0.775 Ir
0.750 0.613 0.225 Ir
0.750 0.954 0.908 Ni
0.250 0.046 0.092 Ni
0.750 0.197 0.393 Y
0.250 0.803 0.607 Y
```

Summary:
As for the formation energy without anion corrections: -0.49 eV/atom. The space group is Cmcm. The crystal system is orthorhombic. The value obtained for the volume is 18.29 A^3/atom. As for the total energy: -40.338 eV per formula unit.